AlZn3 | GGA-PBE | relaxed

Crystal system: tetragonal
ΔE_f (eV per atom): 0.0215
Raw total energy (eV/cell): -7.5

Cell lengths 2.8254, 2.8254, 7.7726 Å; angles 90.00, 90.00, 90.00 degrees
With the nearest neighbours (Å) after each atom.
Sites, in units of the cell vectors:
Zn  0.5000  0.5000  0.2546  8 Zn 2.76-2.83, 4 Al 2.81
Zn  0.0000  0.0000  0.5000  12 Zn 2.76-2.83
Zn  0.5000  0.5000  0.7454  8 Zn 2.76-2.83, 4 Al 2.81
Al  0.0000  0.0000  0.0000  8 Zn 2.81, 4 Al 2.83